w | Computed, not measured: a geometry-optimized AcZnGa3 structure at the PBE level of DFT.

Cell lengths 4.4683, 23.6444, 4.3809 Å; angles 90.00, 90.00, 90.00 degrees
Space group Cmcm (No. 63)
One atom of each set of equivalent atoms:
Ac 0.0000 0.0822 0.2500 [4 per cell]
Zn 0.0000 0.1966 0.7500 [4 per cell]
Ga 0.0000 0.3011 0.7500 [4 per cell]
Ga 0.0000 0.3635 0.2500 [4 per cell]
Ga 0.0000 0.4728 0.2500 [4 per cell]

Computed properties:
Density = 7.2 g/cm³

=====

x | Computed, not measured: a geometry-optimized AcZnGa3 structure at the PBE level of DFT.

Cell lengths 6.3634, 6.3596, 6.1741 Å; angles 90.00, 120.82, 90.00 degrees
Space group Cm (No. 8)
One atom of each set of equivalent atoms:
Ac 0.0000 0.0000 0.0000 [2 per cell]
Zn 0.1228 0.5000 0.2452 [2 per cell]
Ga 0.3835 0.0000 0.7666 [2 per cell]
Ga 0.4978 0.2505 0.4951 [4 per cell]

Computed properties:
Density = 7.8 g/cm³

=====

Most stable one: x, least stable one: w.

=====

w | Computed, not measured: a geometry-optimized AcZnGa4 structure at the PBE level of DFT.

Cell lengths 8.2106, 15.8217, 4.0659 Å; angles 90.00, 90.00, 90.00 degrees
Space group Pbam (No. 55)
One atom of each set of equivalent atoms:
Ac 0.1268 0.1501 0.0000 [4 per cell]
Zn 0.1461 0.4043 0.0000 [4 per cell]
Ga 0.0200 0.6930 0.5000 [4 per cell]
Ga 0.1142 0.5469 0.5000 [4 per cell]
Ga 0.1334 0.9648 0.5000 [4 per cell]
Ga 0.2131 0.8115 0.5000 [4 per cell]

Computed properties:
Density = 7.2 g/cm³

=====

x | Computed, not measured: a geometry-optimized AcZnGa4 structure at the PBE level of DFT.

Cell lengths 4.8729, 4.8729, 5.8694 Å; angles 90.00, 90.00, 90.00 degrees
Space group P4/mmm (No. 123)
One atom of each set of equivalent atoms:
Ac 0.0000 0.0000 0.0000 [1 per cell]
Zn 0.0000 0.0000 0.5000 [1 per cell]
Ga 0.0000 0.5000 0.5000 [2 per cell]
Ga 0.5000 0.5000 0.2293 [2 per cell]

Computed properties:
Density = 6.8 g/cm³

=====

Most stable one: w, least stable one: x.

=====

w | Computed, not measured: a geometry-optimized Ac3ZnGa structure at the PBE level of DFT.

Cell lengths 5.5978, 21.1569, 5.6016 Å; angles 90.00, 90.00, 90.00 degrees
Space group Cmcm (No. 63)
One atom of each set of equivalent atoms:
Ac 0.0000 0.0698 0.2500 [4 per cell]
Ac 0.0000 0.2495 0.2500 [4 per cell]
Ac 0.0000 0.4294 0.2500 [4 per cell]
Zn 0.0000 0.3432 0.7500 [4 per cell]
Ga 0.0000 0.1584 0.7500 [4 per cell]

Computed properties:
Density = 8.2 g/cm³

=====

x | Computed, not measured: a geometry-optimized Ac3ZnGa structure at the PBE level of DFT.

Cell lengths 4.0396, 9.0378, 9.5073 Å; angles 86.30, 89.93, 77.21 degrees
Space group P-1 (No. 2)
One atom of each set of equivalent atoms:
Ac 0.0492 0.4020 0.1858 [2 per cell]
Ac 0.2428 0.0137 0.8260 [2 per cell]
Ac 0.4009 0.6989 0.4265 [2 per cell]
Zn 0.2135 0.0727 0.4303 [2 per cell]
Ga 0.3944 0.7120 0.0744 [2 per cell]

Computed properties:
Density = 8.0 g/cm³

=====

Most stable one: w, least stable one: x.

=====

w | Computed, not measured: a geometry-optimized Ac4Zn3Ga structure at the PBE level of DFT.

Cell lengths 5.5201, 5.5201, 27.1468 Å; angles 90.00, 90.00, 120.00 degrees
Space group R-3m (No. 166, hexagonal axes)
One atom of each set of equivalent atoms:
Ac 0.0000 0.0000 0.1249 [6 per cell]
Ac 0.0000 0.0000 0.3748 [6 per cell]
Zn 0.0000 0.0000 0.0000 [3 per cell]
Zn 0.0000 0.0000 0.2507 [6 per cell]
Ga 0.0000 0.0000 0.5000 [3 per cell]

Computed properties:
Density = 8.2 g/cm³

=====

x | Computed, not measured: a geometry-optimized Ac4Zn3Ga structure at the PBE level of DFT.

Cell lengths 4.0634, 4.6770, 12.8238 Å; angles 90.00, 90.00, 90.00 degrees
Space group Pmm2 (No. 25)
One atom of each set of equivalent atoms:
Ac 0.0000 0.0000 0.0000 [1 per cell]
Ac 0.0000 0.5000 0.2973 [1 per cell]
Ac 0.5000 0.0000 0.4986 [1 per cell]
Ac 0.5000 0.5000 0.7974 [1 per cell]
Zn 0.0000 0.5000 0.5878 [1 per cell]
Zn 0.5000 0.0000 0.2078 [1 per cell]
Zn 0.5000 0.5000 0.0889 [1 per cell]
Ga 0.0000 0.0000 0.7112 [1 per cell]

Computed properties:
Density = 8.0 g/cm³

=====

Most stable one: w, least stable one: x.

=====

w | Computed, not measured: a geometry-optimized AcZrGa2 structure at the PBE level of DFT.

Cell lengths 3.7701, 3.7701, 25.5629 Å; angles 90.00, 90.00, 120.00 degrees
Space group R-3m (No. 166, hexagonal axes)
One atom of each set of equivalent atoms:
Ac 0.0000 0.0000 0.0000 [3 per cell]
Zr 0.0000 0.0000 0.5000 [3 per cell]
Ga 0.0000 0.0000 0.2381 [6 per cell]

Computed properties:
Density = 7.2 g/cm³

=====

x | Computed, not measured: a geometry-optimized AcZrGa2 structure at the PBE level of DFT.

Cell lengths 3.7214, 3.7214, 6.9579 Å; angles 90.00, 90.00, 90.00 degrees
Space group P4/mmm (No. 123)
One atom of each set of equivalent atoms:
Ac 0.0000 0.0000 0.0000 [1 per cell]
Zr 0.0000 0.0000 0.5000 [1 per cell]
Ga 0.5000 0.5000 0.3095 [2 per cell]

Computed properties:
Density = 7.9 g/cm³

=====

Most stable one: x, least stable one: w.

=====

w | Computed, not measured: a geometry-optimized Ac2Gd structure at the PBE level of DFT.

Cell lengths 3.8904, 3.8904, 16.0642 Å; angles 90.00, 90.00, 90.00 degrees
Space group I4/mmm (No. 139)
One atom of each set of equivalent atoms:
Ac 0.0000 0.0000 0.1617 [4 per cell]
Gd 0.0000 0.0000 0.5000 [2 per cell]

Computed properties:
Density = 8.3 g/cm³

=====

x | Computed, not measured: a geometry-optimized Ac2Gd structure at the PBE level of DFT.

Cell lengths 10.1546, 10.1546, 10.1546 Å; angles 90.00, 90.00, 90.00 degrees
Space group Fd-3m (No. 227, origin choice 2)
One atom of each set of equivalent atoms:
Ac 0.0000 0.0000 0.0000 [16 per cell]
Gd 0.1250 0.1250 0.6250 [8 per cell]

Computed properties:
Density = 7.8 g/cm³

=====

Most stable one: w, least stable one: x.

=====

w | Computed, not measured: a geometry-optimized AcGd structure at the PBE level of DFT.

Cell lengths 4.2577, 4.2577, 4.2577 Å; angles 90.00, 90.00, 90.00 degrees
Space group Pm-3m (No. 221)
One atom of each set of equivalent atoms:
Ac 0.0000 0.0000 0.0000 [1 per cell]
Gd 0.5000 0.5000 0.5000 [1 per cell]

Computed properties:
Density = 8.3 g/cm³

=====

x | Computed, not measured: a geometry-optimized AcGd structure at the PBE level of DFT.

Cell lengths 3.8433, 6.1556, 6.5459 Å; angles 90.00, 90.00, 90.00 degrees
Space group Pmmn (No. 59, origin choice 2)
One atom of each set of equivalent atoms:
Ac 0.2500 0.2500 0.0884 [2 per cell]
Gd 0.2500 0.7500 0.4165 [2 per cell]

Computed properties:
Density = 8.2 g/cm³

=====

Most stable one: x, least stable one: w.

=====

w | Computed, not measured: a geometry-optimized AcGdGe structure at the PBE level of DFT.

Cell lengths 4.9272, 4.9272, 4.5660 Å; angles 90.00, 90.00, 120.00 degrees
Space group P3m1 (No. 156)
One atom of each set of equivalent atoms:
Ac 0.0000 0.0000 0.0000 [1 per cell]
Gd 0.6667 0.3333 0.5035 [1 per cell]
Ge 0.3333 0.6667 0.4823 [1 per cell]

Computed properties:
Density = 7.9 g/cm³

=====

x | Computed, not measured: a geometry-optimized AcGdGe structure at the PBE level of DFT.

Cell lengths 7.3299, 7.3299, 7.3299 Å; angles 90.00, 90.00, 90.00 degrees
Space group F-43m (No. 216)
One atom of each set of equivalent atoms:
Ac 0.0000 0.0000 0.0000 [4 per cell]
Gd 0.0000 0.0000 0.5000 [4 per cell]
Ge 0.2500 0.2500 0.7500 [4 per cell]

Computed properties:
Density = 7.7 g/cm³

=====

y | Computed, not measured: a geometry-optimized AcGdGe structure at the PBE level of DFT.

Cell lengths 3.9819, 3.9819, 11.4500 Å; angles 90.00, 90.00, 90.00 degrees
Space group I4mm (No. 107)
One atom of each set of equivalent atoms:
Ac 0.0000 0.0000 0.0000 [2 per cell]
Gd 0.0000 0.0000 0.2791 [2 per cell]
Ge 0.0000 0.0000 0.6709 [2 per cell]

Computed properties:
Density = 8.4 g/cm³

=====

Most stable one: x, least stable one: y.